Density functional theory data (PBE) for crystalline TiSb2TeAs at its relaxed geometry.

V = 29.51 A^3/atom
Polymorph energy (0 for the lowest one) = 434.6 meV/atom
Energy = -19.8 eV for the cell shown
Total magnetization = 0.1 μB per formula unit

abc: 5.2218 5.2218 5.4114
angles: 90.00 90.00 90.00
Closest atoms and distances in Å follow each position.
Space group P4/mmm (No. 123)
Inequivalent atoms, fractional coordinates:
Ti: 0.0000 0.0000 0.0000 (multiplicity 1)  4 Te 3.69, 8 Sb 3.76
Sb: 0.0000 0.5000 0.5000 (multiplicity 2)  2 As 2.61
Te: 0.5000 0.5000 0.0000 (multiplicity 1)  2 As 2.71
As: 0.5000 0.5000 0.5000 (multiplicity 1)  4 Sb 2.61, 2 Te 2.71

Density functional theory data (PBE) for crystalline NaCu3SnSe4 at its relaxed geometry.

V = 25.04 A^3/atom
Energy = -33.4 eV for the cell shown
Total magnetization = 0.0 μB per formula unit

abc: 6.0853 6.0853 6.0853
angles: 90.00 90.00 90.00
Closest atoms and distances in Å follow each position.
Space group P-43m (No. 215)
Inequivalent atoms, fractional coordinates:
Na: 0.0000 0.0000 0.0000 (multiplicity 1)  4 Se 2.75
Cu: 0.0000 0.5000 0.5000 (multiplicity 3)  4 Se 2.60
Sn: 0.5000 0.5000 0.5000 (multiplicity 1)  4 Se 2.52
Se: 0.2606 0.2606 0.7394 (multiplicity 4)  1 Sn 2.52, 3 Cu 2.60, 1 Na 2.75